Computed, not measured: a relaxed SrP2RhCl crystal at the PBE-GGA level of DFT.

Structure (CIF):
```
data_SrP2RhCl
_chemical_formula_sum 'Sr1 P2 Rh1 Cl1'
_cell_length_a 4.4546
_cell_length_b 4.4546
_cell_length_c 6.3539
_cell_angle_alpha 90.00
_cell_angle_beta 90.00
_cell_angle_gamma 90.00
_symmetry_space_group_name_H-M 'P 4/m m m'
_symmetry_Int_Tables_number 123
_symmetry_space_group_name_Hall '-P 4 2'
loop_
_atom_site_label
_atom_site_type_symbol
_atom_site_fract_x
_atom_site_fract_y
_atom_site_fract_z
Sr1 Sr 0.0000 0.0000 0.0000
P1 P 0.0000 0.5000 0.5000
Rh1 Rh 0.5000 0.5000 0.5000
Cl1 Cl 0.5000 0.5000 0.0000
```

Calculated values
The distance to the lowest polymorph of the same formula is 0.00 eV per formula unit. For the density, the calculation gives 3.79 g/cm³.

---

Computed, not measured: a relaxed SrPRhCl2 crystal at the PBE-GGA level of DFT.

Structure (CIF):
```
data_SrPRhCl2
_chemical_formula_sum 'Sr1 P1 Rh1 Cl2'
_cell_length_a 5.3446
_cell_length_b 5.3446
_cell_length_c 6.3229
_cell_angle_alpha 90.00
_cell_angle_beta 90.00
_cell_angle_gamma 90.00
_symmetry_space_group_name_H-M 'P 4/m m m'
_symmetry_Int_Tables_number 123
_symmetry_space_group_name_Hall '-P 4 2'
loop_
_atom_site_label
_atom_site_type_symbol
_atom_site_fract_x
_atom_site_fract_y
_atom_site_fract_z
Sr1 Sr 0.0000 0.0000 0.0000
P1 P 0.0000 0.0000 0.5000
Rh1 Rh 0.5000 0.5000 0.5000
Cl1 Cl 0.0000 0.5000 0.0000
```

Calculated values
The distance to the lowest polymorph of the same formula is 5.57 eV per formula unit. For the density, the calculation gives 2.69 g/cm³.

---

Computed, not measured: a relaxed TaP2RhCl crystal at the PBE-GGA level of DFT.

Structure (CIF):
```
data_TaP2RhCl
_chemical_formula_sum 'Ta1 P2 Rh1 Cl1'
_cell_length_a 4.5745
_cell_length_b 4.5745
_cell_length_c 4.5770
_cell_angle_alpha 90.00
_cell_angle_beta 90.00
_cell_angle_gamma 90.00
_symmetry_space_group_name_H-M 'P 4/m m m'
_symmetry_Int_Tables_number 123
_symmetry_space_group_name_Hall '-P 4 2'
loop_
_atom_site_label
_atom_site_type_symbol
_atom_site_fract_x
_atom_site_fract_y
_atom_site_fract_z
Ta1 Ta 0.0000 0.0000 0.0000
P1 P 0.0000 0.5000 0.5000
Rh1 Rh 0.5000 0.5000 0.5000
Cl1 Cl 0.5000 0.5000 0.0000
```

Calculated values
The distance to the lowest polymorph of the same formula is 1.22 eV per formula unit. For the density, the calculation gives 6.61 g/cm³.

---

Computed, not measured: a relaxed TaP2RhCl crystal at the PBE-GGA level of DFT.

Structure (CIF):
```
data_TaP2RhCl
_chemical_formula_sum 'Ta1 P2 Rh1 Cl1'
_cell_length_a 4.8345
_cell_length_b 4.8345
_cell_length_c 4.6811
_cell_angle_alpha 90.00
_cell_angle_beta 90.00
_cell_angle_gamma 90.00
_symmetry_space_group_name_H-M 'P 4/m m m'
_symmetry_Int_Tables_number 123
_symmetry_space_group_name_Hall '-P 4 2'
loop_
_atom_site_label
_atom_site_type_symbol
_atom_site_fract_x
_atom_site_fract_y
_atom_site_fract_z
Ta1 Ta 0.0000 0.0000 0.0000
P1 P 0.0000 0.5000 0.0000
Rh1 Rh 0.5000 0.5000 0.5000
Cl1 Cl 0.0000 0.0000 0.5000
```

Calculated values
The distance to the lowest polymorph of the same formula is 0.00 eV per formula unit. For the density, the calculation gives 5.79 g/cm³.

---

Computed, not measured: a relaxed TePRhCl2 crystal at the PBE-GGA level of DFT.

Structure (CIF):
```
data_TePRhCl2
_chemical_formula_sum 'Te1 P1 Rh1 Cl2'
_cell_length_a 5.3018
_cell_length_b 5.3018
_cell_length_c 5.0835
_cell_angle_alpha 90.00
_cell_angle_beta 90.00
_cell_angle_gamma 90.00
_symmetry_space_group_name_H-M 'P 4/m m m'
_symmetry_Int_Tables_number 123
_symmetry_space_group_name_Hall '-P 4 2'
loop_
_atom_site_label
_atom_site_type_symbol
_atom_site_fract_x
_atom_site_fract_y
_atom_site_fract_z
Te1 Te 0.0000 0.0000 0.0000
P1 P 0.5000 0.5000 0.5000
Rh1 Rh 0.0000 0.0000 0.5000
Cl1 Cl 0.0000 0.5000 0.0000
```

Calculated values
The distance to the lowest polymorph of the same formula is 3.16 eV per formula unit. For the density, the calculation gives 3.86 g/cm³.

---

Computed, not measured: a relaxed TePRhCl2 crystal at the PBE-GGA level of DFT.

Structure (CIF):
```
data_TePRhCl2
_chemical_formula_sum 'Te1 P1 Rh1 Cl2'
_cell_length_a 4.7343
_cell_length_b 4.7343
_cell_length_c 4.7826
_cell_angle_alpha 90.00
_cell_angle_beta 90.00
_cell_angle_gamma 90.00
_symmetry_space_group_name_H-M 'P 4/m m m'
_symmetry_Int_Tables_number 123
_symmetry_space_group_name_Hall '-P 4 2'
loop_
_atom_site_label
_atom_site_type_symbol
_atom_site_fract_x
_atom_site_fract_y
_atom_site_fract_z
Te1 Te 0.0000 0.0000 0.0000
P1 P 0.5000 0.5000 0.0000
Rh1 Rh 0.5000 0.5000 0.5000
Cl1 Cl 0.0000 0.5000 0.5000
```

Calculated values
The distance to the lowest polymorph of the same formula is 0.00 eV per formula unit. For the density, the calculation gives 5.15 g/cm³.

---

Computed, not measured: a relaxed TePRhCl2 crystal at the PBE-GGA level of DFT.

Structure (CIF):
```
data_TePRhCl2
_chemical_formula_sum 'Te1 P1 Rh1 Cl2'
_cell_length_a 5.3383
_cell_length_b 5.3383
_cell_length_c 5.0306
_cell_angle_alpha 90.00
_cell_angle_beta 90.00
_cell_angle_gamma 90.00
_symmetry_space_group_name_H-M 'P 4/m m m'
_symmetry_Int_Tables_number 123
_symmetry_space_group_name_Hall '-P 4 2'
loop_
_atom_site_label
_atom_site_type_symbol
_atom_site_fract_x
_atom_site_fract_y
_atom_site_fract_z
Te1 Te 0.0000 0.0000 0.0000
P1 P 0.0000 0.0000 0.5000
Rh1 Rh 0.5000 0.5000 0.5000
Cl1 Cl 0.0000 0.5000 0.0000
```

Calculated values
The distance to the lowest polymorph of the same formula is 4.09 eV per formula unit. For the density, the calculation gives 3.85 g/cm³.

---

Computed, not measured: a relaxed TiP2RhCl crystal at the PBE-GGA level of DFT.

Structure (CIF):
```
data_TiP2RhCl
_chemical_formula_sum 'Ti1 P2 Rh1 Cl1'
_cell_length_a 4.5675
_cell_length_b 4.5675
_cell_length_c 4.7368
_cell_angle_alpha 90.00
_cell_angle_beta 90.00
_cell_angle_gamma 90.00
_symmetry_space_group_name_H-M 'P 4/m m m'
_symmetry_Int_Tables_number 123
_symmetry_space_group_name_Hall '-P 4 2'
loop_
_atom_site_label
_atom_site_type_symbol
_atom_site_fract_x
_atom_site_fract_y
_atom_site_fract_z
Ti1 Ti 0.0000 0.0000 0.0000
P1 P 0.0000 0.5000 0.5000
Rh1 Rh 0.5000 0.5000 0.5000
Cl1 Cl 0.5000 0.5000 0.0000
```

Calculated values
The distance to the lowest polymorph of the same formula is 0.08 eV per formula unit. For the density, the calculation gives 4.17 g/cm³.

---

Which value of distance to the lowest polymorph of the same formula does entry 5 give? 3.16 eV per formula unit